Below is Fe3NiIr6 after structural relaxation, with properties calculated at the PBE level.

Lattice parameters (Å, degrees): 15.5277 15.5277 2.6494 90.00 90.00 120.00
With the nearest neighbours (Å) after each atom.
Space group R3m (No. 160, hexagonal axes)
One atom of each set of equivalent atoms:
Fe  0.0085  0.5042  0.0000 [9 per cell]  4 Ir 2.42-2.62, 2 Fe 2.65
Ni  0.0000  0.0000  0.2772 [3 per cell]  9 Ir 2.49-2.61, 2 Ni 2.65
Ir  0.0828  0.1657  0.7626 [9 per cell]  2 Fe 2.42-2.62, 2 Ni 2.57-2.61, 4 Ir 2.65
Ir  0.1846  0.0923  0.2155 [9 per cell]  2 Fe 2.43-2.57, 1 Ni 2.49, 4 Ir 2.65

## Properties
DOS(E_F): 11.88 states/eV/f.u.
Magnetic moment: 29.69 μB/cell
E: -7.86 eV/atom
Calculated formation energy: 54.87 kJ/mol of atoms